# BaAg2As (PBE, optimized geometry)
data_BaAg2As
_chemical_formula_sum 'Ba1 Ag2 As1'
_cell_length_a 4.413
_cell_length_b 4.414
_cell_length_c 5.788
_cell_angle_alpha 90.00
_cell_angle_beta 93.79
_cell_angle_gamma 90.00
_symmetry_space_group_name_H-M 'P 1 m 1'
_symmetry_Int_Tables_number 6
loop_
_symmetry_equiv_pos_as_xyz
'x,y,z'
'x,-y,z'
loop_
_atom_site_label
_atom_site_fract_x
_atom_site_fract_y
_atom_site_fract_z
Ba1 0.000 0.000 0.000
Ag1 0.480 0.000 0.512
Ag2 0.954 0.500 0.509
As1 0.474 0.500 0.770
# Calculated volume (Å³/cell): 112.5
# Density of states at the Fermi level (states/eV/atom): 0.535
# ΔE_f (eV per atom): -0.289
# Total DFT energy (no corrections) (eV per atom): -3.3576

---

# Nd3MgF (PBE, optimized geometry)
data_Nd3MgF
_chemical_formula_sum 'Nd3 Mg1 F1'
_cell_length_a 5.089
_cell_length_b 5.089
_cell_length_c 5.089
_cell_angle_alpha 90.00
_cell_angle_beta 90.00
_cell_angle_gamma 90.00
_symmetry_space_group_name_H-M 'P m -3 m'
_symmetry_Int_Tables_number 221
_symmetry_space_group_name_Hall '-P 4 2 3'
loop_
_atom_site_label
_atom_site_fract_x
_atom_site_fract_y
_atom_site_fract_z
Nd1 0.000 0.000 0.500
Mg1 0.500 0.500 0.500
F1 0.000 0.000 0.000
# Formation energy (no corrections) (eV per atom): -0.974
# Calculated volume (Å³/cell): 131.8
# Density of states at the Fermi level (states/eV/atom): 0.818
# Total DFT energy (no corrections) (eV per atom): -4.5277

---

# Mn2CdCu (PBE, optimized geometry)
data_Mn2CdCu
_chemical_formula_sum 'Mn2 Cd1 Cu1'
_cell_length_a 3.033
_cell_length_b 2.987
_cell_length_c 6.960
_cell_angle_alpha 90.00
_cell_angle_beta 90.07
_cell_angle_gamma 90.00
_symmetry_space_group_name_H-M 'P 1 2/m 1'
_symmetry_Int_Tables_number 10
loop_
_symmetry_equiv_pos_as_xyz
'x,y,z'
'-x,-y,-z'
'-x,y,-z'
'x,-y,z'
loop_
_atom_site_label
_atom_site_fract_x
_atom_site_fract_y
_atom_site_fract_z
Mn1 0.000 0.000 0.214
Cd1 0.500 0.500 0.500
Cu1 0.500 0.500 0.000
# Calculated volume (Å³/cell): 63.1
# Density of states at the Fermi level (states/eV/atom): 0.560
# ΔE_f (eV per atom): 0.252
# Total DFT energy (no corrections) (eV per atom): -5.5859

---

# Fe2HgRhCl (PBE, optimized geometry)
data_Fe2HgRhCl
_chemical_formula_sum 'Fe2 Hg1 Rh1 Cl1'
_cell_length_a 4.928
_cell_length_b 4.928
_cell_length_c 5.085
_cell_angle_alpha 90.00
_cell_angle_beta 90.00
_cell_angle_gamma 90.00
_symmetry_space_group_name_H-M 'P 4/m m m'
_symmetry_Int_Tables_number 123
_symmetry_space_group_name_Hall '-P 4 2'
loop_
_atom_site_label
_atom_site_fract_x
_atom_site_fract_y
_atom_site_fract_z
Fe1 0.000 0.500 0.000
Hg1 0.000 0.000 0.000
Rh1 0.000 0.000 0.500
Cl1 0.500 0.500 0.500
# Formation energy (no corrections) (eV per atom): 1.495
# Relative energy among the computed polymorphs (eV/atom): 0.835
# Calculated volume (Å³/cell): 123.5
# Density of states at the Fermi level (states/eV/atom): 1.783
# Total DFT energy (no corrections) (eV per atom): -3.7902

---

# TaCo2Au (PBE, optimized geometry)
data_TaCo2Au
_chemical_formula_sum 'Ta2 Co4 Au2'
_cell_length_a 3.998
_cell_length_b 3.998
_cell_length_c 6.947
_cell_angle_alpha 90.00
_cell_angle_beta 90.00
_cell_angle_gamma 90.00
_symmetry_space_group_name_H-M 'I 4/m m m'
_symmetry_Int_Tables_number 139
_symmetry_space_group_name_Hall '-I 4 2'
loop_
_atom_site_label
_atom_site_fract_x
_atom_site_fract_y
_atom_site_fract_z
Ta1 0.000 0.000 0.000
Co1 0.000 0.500 0.250
Au1 0.000 0.000 0.500
# Relative energy among the computed polymorphs (eV/atom): 0.038
# Calculated volume (Å³/cell): 111.0
# Density of states at the Fermi level (states/eV/atom): 1.067
# ΔE_f (eV per atom): -0.060
# Total DFT energy (no corrections) (eV per atom): -7.3959

---

# LaAlFeS2 (PBE, optimized geometry)
data_LaAlFeS2
_chemical_formula_sum 'La1 Al1 Fe1 S2'
_cell_length_a 5.509
_cell_length_b 5.509
_cell_length_c 5.306
_cell_angle_alpha 90.00
_cell_angle_beta 90.00
_cell_angle_gamma 90.00
_symmetry_space_group_name_H-M 'P 4/m m m'
_symmetry_Int_Tables_number 123
_symmetry_space_group_name_Hall '-P 4 2'
loop_
_atom_site_label
_atom_site_fract_x
_atom_site_fract_y
_atom_site_fract_z
La1 0.000 0.000 0.000
Al1 0.500 0.500 0.500
Fe1 0.000 0.000 0.500
S1 0.000 0.500 0.000
# Formation energy (no corrections) (eV per atom): 0.444
# Calculated volume (Å³/cell): 161.0
# Density of states at the Fermi level (states/eV/atom): 0.723
# Total DFT energy (no corrections) (eV per atom): -4.6334

---

# PmPuIrAu (PBE, optimized geometry)
data_PmPuIrAu
_chemical_formula_sum 'Pm4 Pu4 Ir4 Au4'
_cell_length_a 7.135
_cell_length_b 7.135
_cell_length_c 7.135
_cell_angle_alpha 90.00
_cell_angle_beta 90.00
_cell_angle_gamma 90.00
_symmetry_space_group_name_H-M 'F -4 3 m'
_symmetry_Int_Tables_number 216
_symmetry_space_group_name_Hall 'F -4 2 3'
loop_
_atom_site_label
_atom_site_fract_x
_atom_site_fract_y
_atom_site_fract_z
Pm1 0.000 0.000 0.000
Pu1 0.000 0.000 0.500
Ir1 0.250 0.250 0.750
Au1 0.250 0.250 0.250
# Calculated volume (Å³/cell): 363.2
# Density of states at the Fermi level (states/eV/atom): 2.901
# ΔE_f (eV per atom): -0.518
# Total DFT energy (no corrections) (eV per atom): -8.3233

---

# Cd4HgAu4 (PBE, optimized geometry)
data_Cd4HgAu4
_chemical_formula_sum 'Cd8 Hg2 Au8'
_cell_length_a 7.524
_cell_length_b 7.524
_cell_length_c 7.577
_cell_angle_alpha 90.00
_cell_angle_beta 90.00
_cell_angle_gamma 90.00
_symmetry_space_group_name_H-M 'P 42/n m c'
_symmetry_Int_Tables_number 137
loop_
_symmetry_equiv_pos_as_xyz
'x,y,z'
'-x,-y,-z'
'-y+1/2,x,z+1/2'
'y+1/2,-x,-z+1/2'
'-x+1/2,-y+1/2,z'
'x+1/2,y+1/2,-z'
'y,-x+1/2,z+1/2'
'-y,x+1/2,-z+1/2'
'x+1/2,-y,-z'
'-x+1/2,y,z'
'-y,-x,-z+1/2'
'y,x,z+1/2'
'-x,y+1/2,-z'
'x,-y+1/2,z'
'y+1/2,x+1/2,-z+1/2'
'-y+1/2,-x+1/2,z+1/2'
loop_
_atom_site_label
_atom_site_fract_x
_atom_site_fract_y
_atom_site_fract_z
Cd1 0.036 0.750 0.107
Hg1 0.250 0.750 0.750
Au1 0.058 0.250 0.529
# Calculated volume (Å³/cell): 429.0
# Density of states at the Fermi level (states/eV/atom): 0.295
# ΔE_f (eV per atom): -0.034
# Total DFT energy (no corrections) (eV per atom): -1.9306

---

# TbSmMgOs (PBE, optimized geometry)
data_TbSmMgOs
_chemical_formula_sum 'Tb1 Sm1 Mg1 Os1'
_cell_length_a 3.423
_cell_length_b 3.423
_cell_length_c 8.677
_cell_angle_alpha 90.00
_cell_angle_beta 90.00
_cell_angle_gamma 90.00
_symmetry_space_group_name_H-M 'P 4 m m'
_symmetry_Int_Tables_number 99
loop_
_symmetry_equiv_pos_as_xyz
'x,y,z'
'-y,x,z'
'-x,-y,z'
'y,-x,z'
'-x,y,z'
'y,x,z'
'x,-y,z'
'-y,-x,z'
loop_
_atom_site_label
_atom_site_fract_x
_atom_site_fract_y
_atom_site_fract_z
Tb1 0.000 0.000 0.000
Sm1 0.000 0.000 0.391
Mg1 0.500 0.500 0.699
Os1 0.500 0.500 0.191
# Relative energy among the computed polymorphs (eV/atom): 0.000
# Calculated volume (Å³/cell): 101.7
# Density of states at the Fermi level (states/eV/atom): 0.680
# ΔE_f (eV per atom): -0.137
# Total DFT energy (no corrections) (eV per atom): -5.6809

---

# Dy3Tm2Hg4 (PBE, optimized geometry)
data_Dy3Tm2Hg4
_chemical_formula_sum 'Dy12 Tm8 Hg16'
_cell_length_a 6.904
_cell_length_b 18.198
_cell_length_c 7.876
_cell_angle_alpha 90.00
_cell_angle_beta 90.00
_cell_angle_gamma 90.00
_symmetry_space_group_name_H-M 'C m c e'
_symmetry_Int_Tables_number 64
_symmetry_space_group_name_Hall '-C 2ac 2'
loop_
_atom_site_label
_atom_site_fract_x
_atom_site_fract_y
_atom_site_fract_z
Dy1 0.000 0.000 0.000
Dy2 0.250 0.239 0.250
Tm1 0.000 0.094 0.587
Hg1 0.000 0.164 0.964
Hg2 0.250 0.069 0.250
# Calculated volume (Å³/cell): 989.5
# Density of states at the Fermi level (states/eV/atom): 0.847
# ΔE_f (eV per atom): -0.297
# Total DFT energy (no corrections) (eV per atom): -2.9590

---

# ZnNiOs (PBE, optimized geometry)
data_ZnNiOs
_chemical_formula_sum 'Zn4 Ni4 Os4'
_cell_length_a 5.634
_cell_length_b 5.634
_cell_length_c 5.634
_cell_angle_alpha 90.00
_cell_angle_beta 90.00
_cell_angle_gamma 90.00
_symmetry_space_group_name_H-M 'F -4 3 m'
_symmetry_Int_Tables_number 216
_symmetry_space_group_name_Hall 'F -4 2 3'
loop_
_atom_site_label
_atom_site_fract_x
_atom_site_fract_y
_atom_site_fract_z
Zn1 0.000 0.000 0.000
Ni1 0.250 0.250 0.250
Os1 0.000 0.000 0.500
# Relative energy among the computed polymorphs (eV/atom): 0.508
# Calculated volume (Å³/cell): 178.9
# Density of states at the Fermi level (states/eV/atom): 0.340
# ΔE_f (eV per atom): 0.525
# Total DFT energy (no corrections) (eV per atom): -5.5699

---

# ZnSiIrPd (PBE, optimized geometry)
data_ZnSiIrPd
_chemical_formula_sum 'Zn4 Si4 Ir4 Pd4'
_cell_length_a 6.050
_cell_length_b 6.050
_cell_length_c 6.050
_cell_angle_alpha 90.00
_cell_angle_beta 90.00
_cell_angle_gamma 90.00
_symmetry_space_group_name_H-M 'F -4 3 m'
_symmetry_Int_Tables_number 216
_symmetry_space_group_name_Hall 'F -4 2 3'
loop_
_atom_site_label
_atom_site_fract_x
_atom_site_fract_y
_atom_site_fract_z
Zn1 0.000 0.000 0.000
Si1 0.000 0.000 0.500
Ir1 0.250 0.250 0.250
Pd1 0.250 0.250 0.750
# Formation energy (no corrections) (eV per atom): -0.392
# Calculated volume (Å³/cell): 221.4
# Density of states at the Fermi level (states/eV/atom): 0.884
# Total DFT energy (no corrections) (eV per atom): -5.5799

---

Calculated ρ, 6.3 6.0 7.5 6.1 14.8 2.9 14.2 11.1 8.6 10.9 11.7 11.8 g/cm3 (same order as the records).